Run 1
Here is a relaxed structure of Pr6InHg from Alexandria via LeMat-Bulk. Energies are from GGA-PBE.

Cell and atoms, written as CIF:
```
data_Pr6InHg
_chemical_formula_sum 'Pr6 In1 Hg1'
_cell_length_a 6.3765
_cell_length_b 6.3766
_cell_length_c 6.3892
_cell_angle_alpha 92.24
_cell_angle_beta 92.13
_cell_angle_gamma 92.40
_space_group_name_H-M_alt 'P -1'
_space_group_IT_number 2
_space_group_name_Hall '-P 1'
loop_
_atom_site_label
_atom_site_type_symbol
_atom_site_fract_x
_atom_site_fract_y
_atom_site_fract_z
_atom_site_occupancy
Pr1 Pr 0.0209 0.0413 0.2510 1
Pr2 Pr 0.2491 0.4810 0.9578 1
Pr3 Pr 0.4594 0.7493 0.4747 1
In1 In 0.5000 0.0000 0.0000 1
Hg1 Hg 0.0000 0.5000 0.5000 1
```

***

Run 2
Here is a relaxed structure of Pr6InHg from Alexandria via LeMat-Bulk. Energies are from GGA-PBE.

Cell and atoms, written as CIF:
```
data_Pr6InHg
_chemical_formula_sum 'Pr6 In1 Hg1'
_cell_length_a 5.0085
_cell_length_b 5.0085
_cell_length_c 9.9796
_cell_angle_alpha 90.00
_cell_angle_beta 90.00
_cell_angle_gamma 90.00
_space_group_name_H-M_alt 'P 4/m m m'
_space_group_IT_number 123
_space_group_name_Hall '-P 4 2'
loop_
_atom_site_label
_atom_site_type_symbol
_atom_site_fract_x
_atom_site_fract_y
_atom_site_fract_z
_atom_site_occupancy
Pr1 Pr 0.0000 0.0000 0.0000 1
Pr2 Pr 0.0000 0.0000 0.5000 1
Pr3 Pr 0.0000 0.5000 0.2501 1
In1 In 0.5000 0.5000 0.0000 1
Hg1 Hg 0.5000 0.5000 0.5000 1
```

***

Stability summary: most stable run 2, least stable run 1.

***

Run 1
Here is a relaxed structure of Pr2InHg4 from Alexandria via LeMat-Bulk. Energies are from GGA-PBE.

Cell and atoms, written as CIF:
```
data_Pr2InHg4
_chemical_formula_sum 'Pr4 In2 Hg8'
_cell_length_a 5.3884
_cell_length_b 5.3884
_cell_length_c 15.9861
_cell_angle_alpha 90.00
_cell_angle_beta 90.00
_cell_angle_gamma 90.00
_space_group_name_H-M_alt 'I 4/m m m'
_space_group_IT_number 139
_space_group_name_Hall '-I 4 2'
loop_
_atom_site_label
_atom_site_type_symbol
_atom_site_fract_x
_atom_site_fract_y
_atom_site_fract_z
_atom_site_occupancy
Pr1 Pr 0.0000 0.0000 0.1193 1
In1 In 0.0000 0.0000 0.5000 1
Hg1 Hg 0.0000 0.0000 0.3126 1
Hg2 Hg 0.0000 0.5000 0.0000 1
```

***

Run 2
Here is a relaxed structure of Pr2InHg4 from Alexandria via LeMat-Bulk. Energies are from GGA-PBE.

Cell and atoms, written as CIF:
```
data_Pr2InHg4
_chemical_formula_sum 'Pr6 In3 Hg12'
_cell_length_a 5.2265
_cell_length_b 5.2265
_cell_length_c 25.2677
_cell_angle_alpha 90.00
_cell_angle_beta 90.00
_cell_angle_gamma 120.00
_space_group_name_H-M_alt 'R -3 m'
_space_group_IT_number 166
_space_group_name_Hall '-R 3 2"'
loop_
_atom_site_label
_atom_site_type_symbol
_atom_site_fract_x
_atom_site_fract_y
_atom_site_fract_z
_atom_site_occupancy
Pr1 Pr 0.0000 0.0000 0.2454 1
In1 In 0.0000 0.0000 0.5000 1
Hg1 Hg 0.0000 0.0000 0.1153 1
Hg2 Hg 0.0000 0.0000 0.3697 1
```

***

Stability summary: most stable run 2, least stable run 1.